PBE-GGA LiCrFe2, optimized geometry; offset from the most stable computed form = 10.30 kJ/mol of atoms; calculated formation energy = 0.298 eV per atom; N(E_F) = 4.6 states/eV/cell
1.0
4.6366 0.0382 -0.0975
1.9436 4.2097 0.0975
-2.8101 -2.8675 2.3216
Cr Fe Li
1 2 1
direct
0.2500 0.7500 0.5000
0.0088 0.0088 0.0000
0.4912 0.4912 0.0000
0.7500 0.2500 0.5000

***

PBE-GGA Pr4Zn, optimized geometry; offset from the most stable computed form = 0.00 kJ/mol of atoms; calculated formation energy = -0.115 eV per atom; N(E_F) = 5.7 states/eV/cell
1.0
3.6902 0.0000 -0.5572
-0.0841 3.6893 -0.5572
-0.1015 -0.1038 11.8258
Pr Zn
4 1
direct
0.5791 0.5791 0.1581
0.1941 0.1941 0.3881
0.8059 0.8059 0.6119
0.4209 0.4209 0.8419
0.0000 0.0000 0.0000

***

PBE-GGA LaScIrO6, optimized geometry; energy relative to the elements, uncorrected = -2.23 eV/atom; N(E_F) = 5.0 states/eV/cell
1.0
5.3403 0.0000 0.0000
-2.6702 4.6248 0.0000
0.0000 0.0000 10.3664
La Sc Ir O
2 2 2 12
direct
0.0000 0.0000 0.0000
0.0000 0.0000 0.5000
0.3333 0.6667 0.2500
0.6667 0.3333 0.7500
0.6667 0.3333 0.2500
0.3333 0.6667 0.7500
0.6481 0.6258 0.1433
0.9777 0.3519 0.1433
0.3519 0.9777 0.6433
0.0223 0.6481 0.8567
0.3742 0.3519 0.3567
0.9777 0.6258 0.3567
0.6258 0.9777 0.8567
0.6481 0.0223 0.3567
0.0223 0.3742 0.6433
0.3742 0.0223 0.1433
0.6258 0.6481 0.6433
0.3519 0.3742 0.8567

***

PBE-GGA La3Pm3Nd, optimized geometry; offset from the most stable computed form = 7.96 kJ/mol of atoms; calculated formation energy = 0.118 eV per atom; N(E_F) = 19.1 states/eV/cell
1.0
-2.1253 -1.7721 7.9971
3.6942 -7.1794 2.5338
6.4469 1.6602 5.2242
La Pm Nd
6 6 2
direct
0.7313 0.1633 0.8735
0.1633 0.8735 0.7313
0.8735 0.7313 0.1633
0.1265 0.2687 0.8367
0.8367 0.1265 0.2687
0.2687 0.8367 0.1265
0.6921 0.5535 0.9765
0.9765 0.6921 0.5535
0.5535 0.9765 0.6921
0.4465 0.0235 0.3079
0.0235 0.3079 0.4465
0.3079 0.4465 0.0235
0.4094 0.4094 0.4094
0.5906 0.5906 0.5906

***

PBE-GGA Dy4TmPu3Se8, optimized geometry; energy relative to the elements, uncorrected = -1.68 eV/atom; N(E_F) = 26.1 states/eV/cell
1.0
8.1613 0.0000 0.0000
0.0000 8.2049 0.0255
-4.0807 -4.0770 5.7733
Dy Tm Pu Se
4 1 3 8
direct
0.5000 0.0000 0.0000
0.5000 0.0000 0.5000
0.0000 0.0000 0.0000
0.0000 0.0000 0.5000
0.0000 0.5000 0.0000
0.5000 0.5000 0.0000
0.5000 0.5000 0.5000
0.0000 0.5000 0.5000
0.2483 0.7518 0.0036
0.2482 0.7519 0.4964
0.2484 0.2451 0.4968
0.7554 0.7518 0.0036
0.2446 0.2482 0.9964
0.7516 0.7549 0.5032
0.7518 0.2481 0.5036
0.7517 0.2482 0.9964

***

PBE-GGA Hf2SiTe2, optimized geometry; energy relative to the elements, uncorrected = 0.40 eV/atom; N(E_F) = 3.4 states/eV/cell
1.0
3.0087 0.0000 0.0000
0.0000 3.0087 0.0000
0.0000 0.0000 15.5683
Hf Si Te
2 1 2
direct
0.5000 0.5000 0.1710
0.5000 0.5000 0.8290
0.5000 0.5000 0.0000
0.5000 0.5000 0.6405
0.5000 0.5000 0.3595